The following is a PBE-GGA calculation of a relaxed Cs2Tl2Bi crystal, from Alexandria via LeMat-Bulk.

Output
Size of the total moment in μB/cell: 0.0
Space-group type: C2/m, No. 12
Crystal system: monoclinic
Calculated formation energy in eV/atom: -0.21
E_tot in eV per atom: -2.278
Polymorph energy (0 for the lowest one) in meV/atom: 6

Cell: 9.520 9.520 7.610 Å, 101.53 101.53 126.32°
Element x y z (fractional)
Cs 0.035 0.333 0.303
Cs 0.333 0.035 0.303
Cs 0.667 0.965 0.697
Cs 0.965 0.667 0.697
Tl 0.198 0.198 0.886
Tl 0.459 0.459 0.704
Tl 0.541 0.541 0.296
Tl 0.802 0.802 0.114
Bi 0.354 0.646 0.000
Bi 0.646 0.354 0.000

***

The following is a PBE-GGA calculation of a relaxed Cs2Tl6Bi3 crystal, from Alexandria via LeMat-Bulk.

Output
Size of the total moment in μB/cell: 0.0
Space-group type: P-62m, No. 189
Crystal system: hexagonal
Calculated formation energy in eV/atom: -0.10
E_tot in eV per atom: -2.608

Cell: 10.199 10.199 4.981 Å, 90.00 90.00 120.00°
Element x y z (fractional)
Cs 0.333 0.667 0.000
Cs 0.667 0.333 0.000
Tl 0.000 0.183 0.000
Tl 0.000 0.692 0.500
Tl 0.183 0.000 0.000
Tl 0.308 0.308 0.500
Tl 0.692 0.000 0.500
Tl 0.817 0.817 0.000
Bi 0.000 0.365 0.500
Bi 0.365 0.000 0.500
Bi 0.635 0.635 0.500

***

The following is a PBE-GGA calculation of a relaxed CsTl2Bi crystal, from Alexandria via LeMat-Bulk.

Output
Size of the total moment in μB/cell: 0.0
Space-group type: I-42d, No. 122
Crystal system: tetragonal
Calculated formation energy in eV/atom: -0.08
E_tot in eV per atom: -2.444

Cell: 7.839 7.839 7.839 Å, 103.98 103.98 121.11°
Element x y z (fractional)
Cs 0.000 0.000 0.000
Cs 0.750 0.250 0.500
Tl 0.186 0.125 0.561
Tl 0.375 0.814 0.939
Tl 0.564 0.625 0.439
Tl 0.875 0.436 0.061
Bi 0.250 0.750 0.500
Bi 0.500 0.500 0.000